ZnNi2Au, relaxed, DFT GGA-PBEsol; space group = I4/mmm, No. 139; E_form = -108 meV/atom
1.0
3.8081 0.0000 0.0000
0.0000 3.8081 0.0000
-1.9041 -1.9041 3.4874
Ni Zn Au
2 1 1
Direct
0.2500 0.7500 0.5000
0.7500 0.2500 0.5000
0.0000 0.0000 0.0000
0.5000 0.5000 0.0000


Zn2NiAu, relaxed, DFT GGA-PBEsol; space group = Pmmm, No. 47; E_form = -225 meV/atom
1.0
-0.7236 -0.9893 2.5353
-2.4922 -1.6373 -1.3502
3.4663 -4.6089 -0.8092
Zn Ni Au
2 1 1
Direct
0.0000 0.0000 0.7198
0.0000 0.0000 0.2802
0.5000 0.5000 0.5000
0.5000 0.5000 0.0000


ZnNi2Au, relaxed, DFT GGA-PBEsol; space group = I-4m2, No. 119; E_form = -107 meV/atom
1.0
-0.4524 -2.1310 -3.0318
1.1369 -2.9868 1.9298
-3.7616 1.8905 1.5310
Ni Zn Au
2 1 1
Direct
0.0000 0.0000 0.0000
0.7500 0.2500 0.5000
0.5000 0.5000 0.0000
0.2500 0.7500 0.5000


ZnNi2Au, relaxed, DFT GGA-PBEsol; space group = P2/m, No. 10; E_form = -46 meV/atom
1.0
2.7447 0.0000 0.0000
0.0000 4.3690 0.0352
0.0000 -1.2904 4.2378
Ni Zn Au
2 1 1
Direct
0.0000 0.0000 0.0000
0.5000 0.0000 0.5000
0.5000 0.5000 0.0000
0.0000 0.5000 0.5000


Zn2NiAu, relaxed, DFT GGA-PBEsol; space group = Cmmm, No. 65; E_form = -177 meV/atom
1.0
-0.3916 -1.9843 -2.1572
3.9818 0.8542 -1.5086
0.6698 -3.2179 2.8384
Au Ni Zn
1 1 2
Direct
0.5000 0.5000 0.5000
0.5000 0.0000 0.0000
0.0000 0.5000 0.0000
0.0000 0.0000 0.5000


ZnNi2Au, relaxed, DFT GGA-PBEsol; space group = Cmmm, No. 65; E_form = -94 meV/atom
1.0
-0.5888 1.1560 -2.4853
-1.6588 -3.7378 -1.3456
-3.4242 1.9597 1.7229
Ni Zn Au
2 1 1
Direct
0.0000 0.0000 0.5000
0.0000 0.5000 0.0000
0.5000 0.0000 0.0000
0.5000 0.5000 0.5000